The following is a DFT calculation (SCAN) of TcNiH3 at its PBEsol-relaxed geometry.

a b c (Å): 3.3207 3.3207 3.3207
angles (deg): 90.00 90.00 90.00
Positions (direct):
Tc 0.0000 0.0000 0.0000
Ni 0.5000 0.5000 0.5000
H 0.0000 0.0000 0.5000
H 0.0000 0.5000 0.0000
H 0.5000 0.0000 0.0000

Properties
The total energy is -59.431 eV for the cell shown.

The following is a DFT calculation (SCAN) of TaSiMo3 at its PBEsol-relaxed geometry.

a b c (Å): 4.6830 4.6830 4.6830
angles (deg): 90.00 90.00 90.00
Positions (direct):
Ta 0.0000 0.0000 0.0000
Si 0.5000 0.5000 0.5000
Mo 0.0000 0.0000 0.5000
Mo 0.0000 0.5000 0.0000
Mo 0.5000 0.0000 0.0000

Properties
As for the formation energy (no corrections): 202.0 kJ per mole of atoms. The total energy is -170.785 eV for the cell shown.

The following is a DFT calculation (SCAN) of CoTcAu at its PBEsol-relaxed geometry.

a b c (Å): 2.6899 3.6465 8.3069
angles (deg): 90.00 90.00 90.00
Positions (direct):
Co 0.0000 0.0000 0.0000
Co 0.5000 0.5000 0.5000
Tc 0.0000 0.0000 0.6329
Tc 0.5000 0.5000 0.1329
Au 0.0000 0.0000 0.3188
Au 0.5000 0.5000 0.8188

Properties
The formation energy comes out at 0.35 eV/atom. The calculation puts the distance to the lowest polymorph of the same formula at 0.074 eV per atom. The total energy is -240.914 eV for the cell shown.

The following is a DFT calculation (SCAN) of TeC3Cl at its PBEsol-relaxed geometry.

a b c (Å): 3.8663 3.8663 3.8663
angles (deg): 90.00 90.00 90.00
Positions (direct):
Te 0.0000 0.0000 0.0000
C 0.0000 0.5000 0.5000
C 0.5000 0.0000 0.5000
C 0.5000 0.5000 0.0000
Cl 0.5000 0.5000 0.5000

Properties
As for the formation energy (no corrections): 335.2 kJ per mole of atoms. The total energy is -58.156 eV for the cell shown.

no.,D(E_F) (states/eV/cell)
1,1.2
2,6.6
3,5.8
4,3.4